Entry from Alexandria: MnRu2Se at its PBEsol-relaxed geometry (meta-GGA SCAN).

The electronic total energy is -214.6 eV per cell. Its formation energy (no corrections) is 167 meV/atom.

Geometry as CIF:
```
data_MnRu2Se
_chemical_formula_sum 'Mn2 Ru4 Se2'
_cell_length_a 2.9045
_cell_length_b 4.2520
_cell_length_c 8.5838
_cell_angle_alpha 90.00
_cell_angle_beta 90.00
_cell_angle_gamma 90.00
_space_group_name_H-M_alt 'I m m 2'
_space_group_IT_number 44
_space_group_name_Hall 'I 2 -2'
loop_
_atom_site_label
_atom_site_fract_x
_atom_site_fract_y
_atom_site_fract_z
Mn1 0.0000 0.0000 0.0000
Ru1 0.0000 0.0000 0.5476
Ru2 0.0000 0.5000 0.7720
Se1 0.0000 0.5000 0.2775
```

***

Entry from Alexandria: MnRuSe2 at its PBEsol-relaxed geometry (meta-GGA SCAN).

The electronic total energy is -283.3 eV per cell. Its formation energy (no corrections) is -302 meV/atom.

Geometry as CIF:
```
data_MnRuSe2
_chemical_formula_sum 'Mn3 Ru3 Se6'
_cell_length_a 3.7914
_cell_length_b 3.7914
_cell_length_c 16.5069
_cell_angle_alpha 90.00
_cell_angle_beta 90.00
_cell_angle_gamma 120.00
_space_group_name_H-M_alt 'R -3 m'
_space_group_IT_number 166
_space_group_name_Hall '-R 3 2"'
loop_
_atom_site_label
_atom_site_fract_x
_atom_site_fract_y
_atom_site_fract_z
Mn1 0.0000 0.0000 0.0000
Ru1 0.0000 0.0000 0.5000
Se1 0.0000 0.0000 0.2424
```

***

Entry from Alexandria: MnRu2Se at its PBEsol-relaxed geometry (meta-GGA SCAN).

The electronic total energy is -321.8 eV per cell. Its formation energy (no corrections) is 182 meV/atom.

Geometry as CIF:
```
data_MnRu2Se
_chemical_formula_sum 'Mn3 Ru6 Se3'
_cell_length_a 2.8316
_cell_length_b 2.8316
_cell_length_c 23.8562
_cell_angle_alpha 90.00
_cell_angle_beta 90.00
_cell_angle_gamma 120.00
_space_group_name_H-M_alt 'R -3 m'
_space_group_IT_number 166
_space_group_name_Hall '-R 3 2"'
loop_
_atom_site_label
_atom_site_fract_x
_atom_site_fract_y
_atom_site_fract_z
Mn1 0.0000 0.0000 0.0000
Ru1 0.0000 0.0000 0.2507
Se1 0.0000 0.0000 0.5000
```

***

Entry from Alexandria: MnRu2Se at its PBEsol-relaxed geometry (meta-GGA SCAN).

The electronic total energy is -107.9 eV per cell. Its formation energy (no corrections) is 24 meV/atom.

Geometry as CIF:
```
data_MnRu2Se
_chemical_formula_sum 'Mn1 Ru2 Se1'
_cell_length_a 3.0288
_cell_length_b 3.0288
_cell_length_c 5.9442
_cell_angle_alpha 90.00
_cell_angle_beta 90.00
_cell_angle_gamma 90.00
_space_group_name_H-M_alt 'P 4/m m m'
_space_group_IT_number 123
_space_group_name_Hall '-P 4 2'
loop_
_atom_site_label
_atom_site_fract_x
_atom_site_fract_y
_atom_site_fract_z
Mn1 0.0000 0.0000 0.0000
Ru1 0.5000 0.5000 0.2415
Se1 0.0000 0.0000 0.5000
```

***

Entry from Alexandria: Mn2SiRu at its PBEsol-relaxed geometry (meta-GGA SCAN).

The electronic total energy is -83.3 eV per cell. Its formation energy (no corrections) is -491 meV/atom.

Geometry as CIF:
```
data_Mn2SiRu
_chemical_formula_sum 'Mn2 Si1 Ru1'
_cell_length_a 2.8794
_cell_length_b 3.9947
_cell_length_c 4.0885
_cell_angle_alpha 90.00
_cell_angle_beta 90.00
_cell_angle_gamma 90.00
_space_group_name_H-M_alt 'P m m m'
_space_group_IT_number 47
_space_group_name_Hall '-P 2 2'
loop_
_atom_site_label
_atom_site_fract_x
_atom_site_fract_y
_atom_site_fract_z
Mn1 0.0000 0.0000 0.0000
Mn2 0.5000 0.5000 0.0000
Si1 0.0000 0.5000 0.5000
Ru1 0.5000 0.0000 0.5000
```

***

Entry from Alexandria: MnSiRu3 at its PBEsol-relaxed geometry (meta-GGA SCAN).

The electronic total energy is -130.4 eV per cell. Its formation energy (no corrections) is 465 meV/atom.

Geometry as CIF:
```
data_MnSiRu3
_chemical_formula_sum 'Mn1 Si1 Ru3'
_cell_length_a 4.2982
_cell_length_b 4.2982
_cell_length_c 4.2982
_cell_angle_alpha 90.00
_cell_angle_beta 90.00
_cell_angle_gamma 90.00
_space_group_name_H-M_alt 'P m -3 m'
_space_group_IT_number 221
_space_group_name_Hall '-P 4 2 3'
loop_
_atom_site_label
_atom_site_fract_x
_atom_site_fract_y
_atom_site_fract_z
Mn1 0.0000 0.0000 0.0000
Si1 0.5000 0.5000 0.5000
Ru1 0.0000 0.5000 0.5000
```

***

Entry from Alexandria: Mn2SiRu at its PBEsol-relaxed geometry (meta-GGA SCAN).

The electronic total energy is -82.9 eV per cell. Its formation energy (no corrections) is -386 meV/atom.

Geometry as CIF:
```
data_Mn2SiRu
_chemical_formula_sum 'Mn2 Si1 Ru1'
_cell_length_a 3.5723
_cell_length_b 3.5723
_cell_length_c 3.7758
_cell_angle_alpha 90.00
_cell_angle_beta 90.00
_cell_angle_gamma 90.00
_space_group_name_H-M_alt 'P 4/m m m'
_space_group_IT_number 123
_space_group_name_Hall '-P 4 2'
loop_
_atom_site_label
_atom_site_fract_x
_atom_site_fract_y
_atom_site_fract_z
Mn1 0.0000 0.5000 0.0000
Si1 0.0000 0.0000 0.5000
Ru1 0.5000 0.5000 0.5000
```

***

Entry from Alexandria: MnSiRu2 at its PBEsol-relaxed geometry (meta-GGA SCAN).

The electronic total energy is -100.2 eV per cell. Its formation energy (no corrections) is -577 meV/atom.

Geometry as CIF:
```
data_MnSiRu2
_chemical_formula_sum 'Mn1 Si1 Ru2'
_cell_length_a 2.9314
_cell_length_b 2.9314
_cell_length_c 5.8620
_cell_angle_alpha 90.00
_cell_angle_beta 90.00
_cell_angle_gamma 90.00
_space_group_name_H-M_alt 'P 4/m m m'
_space_group_IT_number 123
_space_group_name_Hall '-P 4 2'
loop_
_atom_site_label
_atom_site_fract_x
_atom_site_fract_y
_atom_site_fract_z
Mn1 0.0000 0.0000 0.0000
Si1 0.0000 0.0000 0.5000
Ru1 0.5000 0.5000 0.2628
```

***

Entry from Alexandria: MnSiRu2 at its PBEsol-relaxed geometry (meta-GGA SCAN).

The electronic total energy is -100.5 eV per cell. Its formation energy (no corrections) is -639 meV/atom.

Geometry as CIF:
```
data_MnSiRu2
_chemical_formula_sum 'Mn1 Si1 Ru2'
_cell_length_a 4.1182
_cell_length_b 4.1182
_cell_length_c 2.9372
_cell_angle_alpha 90.00
_cell_angle_beta 90.00
_cell_angle_gamma 90.00
_space_group_name_H-M_alt 'P 4/m m m'
_space_group_IT_number 123
_space_group_name_Hall '-P 4 2'
loop_
_atom_site_label
_atom_site_fract_x
_atom_site_fract_y
_atom_site_fract_z
Mn1 0.0000 0.0000 0.0000
Si1 0.5000 0.5000 0.0000
Ru1 0.0000 0.5000 0.5000
```

***

Entry from Alexandria: Mn2SiRu at its PBEsol-relaxed geometry (meta-GGA SCAN).

The electronic total energy is -334.1 eV per cell. Its formation energy (no corrections) is -541 meV/atom.

Geometry as CIF:
```
data_Mn2SiRu
_chemical_formula_sum 'Mn8 Si4 Ru4'
_cell_length_a 5.7135
_cell_length_b 5.7135
_cell_length_c 5.7135
_cell_angle_alpha 90.00
_cell_angle_beta 90.00
_cell_angle_gamma 90.00
_space_group_name_H-M_alt 'F -4 3 m'
_space_group_IT_number 216
_space_group_name_Hall 'F -4 2 3'
loop_
_atom_site_label
_atom_site_fract_x
_atom_site_fract_y
_atom_site_fract_z
Mn1 0.0000 0.0000 0.0000
Mn2 0.2500 0.2500 0.2500
Si1 0.0000 0.0000 0.5000
Ru1 0.2500 0.2500 0.7500
```

***

Entry from Alexandria: Sr2MnRu at its PBEsol-relaxed geometry (meta-GGA SCAN).

The electronic total energy is -193.0 eV per cell. The value obtained for the formation energy is 1.11 eV/f.u.

Geometry as CIF:
```
data_Sr2MnRu
_chemical_formula_sum 'Sr4 Mn2 Ru2'
_cell_length_a 3.8423
_cell_length_b 5.1647
_cell_length_c 10.3187
_cell_angle_alpha 90.00
_cell_angle_beta 90.00
_cell_angle_gamma 90.00
_space_group_name_H-M_alt 'I m m 2'
_space_group_IT_number 44
_space_group_name_Hall 'I 2 -2'
loop_
_atom_site_label
_atom_site_fract_x
_atom_site_fract_y
_atom_site_fract_z
Sr1 0.0000 0.0000 0.0000
Sr2 0.0000 0.5000 0.2080
Mn1 0.0000 0.0000 0.4128
Ru1 0.0000 0.5000 0.7876
```

***

Entry from Alexandria: SrMn2Ru2 at its PBEsol-relaxed geometry (meta-GGA SCAN).

The electronic total energy is -254.1 eV per cell. The value obtained for the formation energy is 1.37 eV/f.u.

Geometry as CIF:
```
data_SrMn2Ru2
_chemical_formula_sum 'Sr2 Mn4 Ru4'
_cell_length_a 4.1452
_cell_length_b 4.1452
_cell_length_c 9.8448
_cell_angle_alpha 90.00
_cell_angle_beta 90.00
_cell_angle_gamma 90.00
_space_group_name_H-M_alt 'I 4/m m m'
_space_group_IT_number 139
_space_group_name_Hall '-I 4 2'
loop_
_atom_site_label
_atom_site_fract_x
_atom_site_fract_y
_atom_site_fract_z
Sr1 0.0000 0.0000 0.0000
Mn1 0.0000 0.5000 0.2500
Ru1 0.0000 0.0000 0.3637
```

***

Entry from Alexandria: SrMn2Ru at its PBEsol-relaxed geometry (meta-GGA SCAN).

The electronic total energy is -91.3 eV per cell. The value obtained for the formation energy is 2.33 eV/f.u.

Geometry as CIF:
```
data_SrMn2Ru
_chemical_formula_sum 'Sr1 Mn2 Ru1'
_cell_length_a 4.5390
_cell_length_b 4.5390
_cell_length_c 3.3487
_cell_angle_alpha 90.00
_cell_angle_beta 90.00
_cell_angle_gamma 90.00
_space_group_name_H-M_alt 'P 4/m m m'
_space_group_IT_number 123
_space_group_name_Hall '-P 4 2'
loop_
_atom_site_label
_atom_site_fract_x
_atom_site_fract_y
_atom_site_fract_z
Sr1 0.0000 0.0000 0.0000
Mn1 0.0000 0.5000 0.5000
Ru1 0.5000 0.5000 0.0000
```

***

Entry from Alexandria: SrMn2Ru at its PBEsol-relaxed geometry (meta-GGA SCAN).

The electronic total energy is -278.9 eV per cell. The value obtained for the formation energy is 0.65 eV/f.u.

Geometry as CIF:
```
data_SrMn2Ru
_chemical_formula_sum 'Sr3 Mn6 Ru3'
_cell_length_a 4.1351
_cell_length_b 4.1351
_cell_length_c 16.3713
_cell_angle_alpha 90.00
_cell_angle_beta 90.00
_cell_angle_gamma 120.00
_space_group_name_H-M_alt 'R -3 m'
_space_group_IT_number 166
_space_group_name_Hall '-R 3 2"'
loop_
_atom_site_label
_atom_site_fract_x
_atom_site_fract_y
_atom_site_fract_z
Sr1 0.0000 0.0000 0.0000
Mn1 0.0000 0.0000 0.1949
Ru1 0.0000 0.0000 0.5000
```

***

Entry from Alexandria: SrMnRu2 at its PBEsol-relaxed geometry (meta-GGA SCAN).

The electronic total energy is -107.3 eV per cell. The value obtained for the formation energy is 2.93 eV/f.u.

Geometry as CIF:
```
data_SrMnRu2
_chemical_formula_sum 'Sr1 Mn1 Ru2'
_cell_length_a 4.5381
_cell_length_b 4.5381
_cell_length_c 3.2229
_cell_angle_alpha 90.00
_cell_angle_beta 90.00
_cell_angle_gamma 90.00
_space_group_name_H-M_alt 'P 4/m m m'
_space_group_IT_number 123
_space_group_name_Hall '-P 4 2'
loop_
_atom_site_label
_atom_site_fract_x
_atom_site_fract_y
_atom_site_fract_z
Sr1 0.0000 0.0000 0.0000
Mn1 0.5000 0.5000 0.0000
Ru1 0.0000 0.5000 0.5000
```

***

Entry from Alexandria: SrMn3Ru at its PBEsol-relaxed geometry (meta-GGA SCAN).

The electronic total energy is -110.5 eV per cell. The value obtained for the formation energy is 1.39 eV/f.u.

Geometry as CIF:
```
data_SrMn3Ru
_chemical_formula_sum 'Sr1 Mn3 Ru1'
_cell_length_a 4.7788
_cell_length_b 4.7788
_cell_length_c 4.7788
_cell_angle_alpha 90.00
_cell_angle_beta 90.00
_cell_angle_gamma 90.00
_space_group_name_H-M_alt 'P m -3 m'
_space_group_IT_number 221
_space_group_name_Hall '-P 4 2 3'
loop_
_atom_site_label
_atom_site_fract_x
_atom_site_fract_y
_atom_site_fract_z
Sr1 0.0000 0.0000 0.0000
Mn1 0.0000 0.5000 0.5000
Ru1 0.5000 0.5000 0.5000
```

***

no.,ρ (kg/m3),calculated volume (Å³ per atom)
1,10527,13.251
2,7610,17.124
3,10106,13.804
4,10233,13.632
5,8440,11.757
6,8077,15.881
7,8237,12.046
8,9400,12.593
9,9506,12.453
10,8512,11.657
11,5372,25.596
12,7846,16.916
13,7186,17.248
14,6135,20.202
15,8624,16.594
16,5379,21.827